1.
{
  "formula": "NaHfN2",
  "functional": "GGA-PBE",
  "state": "optimized geometry",
  "raw_formation_energy_ev_per_atom": -0.599,
  "e_tot_ev_per_cell": -60.6,
  "magnetic_moment_mub_per_cell": 2.0,
  "lattice": [[-1.641, 4.827, -1.866], [-3.737, -2.459, -3.075], [-5.836, 1.496, 1.104]],
  "species": ["N", "N", "N", "N", "Na", "Na", "Hf", "Hf"],
  "fractional_positions": [[0.875, 0.950, 0.750], [0.050, 0.625, 0.250], [0.700, 0.125, 0.250], [0.375, 0.300, 0.750], [0.500, 0.500, 0.000], [0.250, 0.750, 0.500], [0.750, 0.250, 0.500], [0.000, 0.000, 0.000]]
}

2.
{
  "formula": "NaHfN2",
  "functional": "GGA-PBE",
  "state": "optimized geometry",
  "raw_formation_energy_ev_per_atom": -0.129,
  "e_tot_ev_per_cell": -28.4,
  "magnetic_moment_mub_per_cell": 0.0,
  "lattice": [[0.000, 2.774, 2.774], [2.774, 0.000, 2.774], [2.774, 2.774, 0.000]],
  "species": ["Na", "N", "N", "Hf"],
  "fractional_positions": [[0.000, 0.000, 0.000], [0.750, 0.750, 0.750], [0.250, 0.250, 0.250], [0.500, 0.500, 0.500]]
}

3.
{
  "formula": "Na2Hf2N3",
  "functional": "GGA-PBE",
  "state": "optimized geometry",
  "raw_formation_energy_ev_per_atom": -1.062,
  "e_tot_ev_per_cell": -55.0,
  "magnetic_moment_mub_per_cell": 0.0,
  "lattice": [[-1.700, 1.479, 2.269], [-3.818, -2.330, -3.591], [0.668, -4.868, 3.681]],
  "species": ["Na", "Na", "N", "N", "N", "Hf", "Hf"],
  "fractional_positions": [[0.864, 0.728, 0.605], [0.136, 0.272, 0.395], [0.761, 0.522, 0.197], [0.239, 0.478, 0.803], [0.000, 0.000, 0.000], [0.367, 0.735, 0.079], [0.633, 0.265, 0.921]]
}

4.
{
  "formula": "NaHf2N",
  "functional": "GGA-PBE",
  "state": "optimized geometry",
  "raw_formation_energy_ev_per_atom": -0.565,
  "e_tot_ev_per_cell": -31.8,
  "magnetic_moment_mub_per_cell": 0.0,
  "lattice": [[-2.081, 2.102, 1.254], [-2.399, -1.035, 1.870], [3.678, 1.229, 8.160]],
  "species": ["Na", "N", "Hf", "Hf"],
  "fractional_positions": [[0.000, 0.000, 0.000], [0.500, 0.500, 0.500], [0.120, 0.120, 0.640], [0.880, 0.880, 0.360]]
}

5.
{
  "formula": "NaHf3N",
  "functional": "GGA-PBE",
  "state": "optimized geometry",
  "raw_formation_energy_ev_per_atom": -0.251,
  "polymorph_energy_ev_per_atom": 0.0000,
  "e_tot_ev_per_cell": -40.8,
  "magnetic_moment_mub_per_cell": 0.0,
  "lattice": [[4.512, 0.000, 0.000], [0.000, 4.512, 0.000], [0.000, 0.000, 4.512]],
  "species": ["Hf", "Hf", "Hf", "N", "Na"],
  "fractional_positions": [[0.000, 0.500, 0.000], [0.000, 0.000, 0.500], [0.500, 0.000, 0.000], [0.000, 0.000, 0.000], [0.500, 0.500, 0.500]]
}

6.
{
  "formula": "NaHf3N",
  "functional": "GGA-PBE",
  "state": "optimized geometry",
  "raw_formation_energy_ev_per_atom": 2.618,
  "polymorph_energy_ev_per_atom": 2.8692,
  "e_tot_ev_per_cell": -26.4,
  "magnetic_moment_mub_per_cell": 0.0,
  "lattice": [[-2.913, 3.663, 1.359], [-3.880, -2.512, -1.544], [-0.460, -2.005, 4.418]],
  "species": ["N", "Hf", "Hf", "Hf", "Na"],
  "fractional_positions": [[0.500, 0.500, 0.500], [0.500, 0.000, 0.000], [0.000, 0.000, 0.500], [0.000, 0.500, 0.000], [0.000, 0.000, 0.000]]
}

7.
{
  "formula": "NaHf2N",
  "functional": "GGA-PBE",
  "state": "optimized geometry",
  "raw_formation_energy_ev_per_atom": -0.074,
  "e_tot_ev_per_cell": -59.7,
  "magnetic_moment_mub_per_cell": 0.0,
  "lattice": [[-3.270, -4.952, 2.899], [1.034, -3.790, -5.308], [2.537, -5.779, 0.513]],
  "species": ["Hf", "Hf", "Hf", "Hf", "Na", "Na", "N", "N"],
  "fractional_positions": [[0.375, 0.531, 0.750], [0.281, 0.625, 0.250], [0.875, 0.719, 0.750], [0.469, 0.125, 0.250], [0.750, 0.250, 0.500], [0.000, 0.000, 0.000], [0.500, 0.500, 0.000], [0.250, 0.750, 0.500]]
}

8.
{
  "formula": "Na4HfNp3N8",
  "functional": "GGA-PBE",
  "state": "optimized geometry",
  "raw_formation_energy_ev_per_atom": -0.922,
  "e_tot_ev_per_cell": -135.4,
  "magnetic_moment_mub_per_cell": 5.0,
  "lattice": [[-1.603, 1.712, 6.406], [6.331, -1.843, 2.076], [-0.698, 4.559, -5.026]],
  "species": ["N", "N", "N", "N", "N", "N", "N", "N", "Na", "Na", "Na", "Na", "Np", "Np", "Np", "Hf"],
  "fractional_positions": [[0.726, 0.685, 0.955], [0.274, 0.315, 0.045], [0.229, 0.685, 0.459], [0.272, 0.316, 0.544], [0.229, 0.685, 0.955], [0.771, 0.315, 0.045], [0.771, 0.315, 0.541], [0.728, 0.684, 0.456], [0.500, 0.000, 0.000], [0.000, 0.000, 0.000], [0.500, 0.000, 0.500], [0.000, 0.000, 0.500], [0.500, 0.500, 0.000], [0.000, 0.500, 0.500], [0.500, 0.500, 0.500], [0.000, 0.500, 0.000]]
}

9.
{
  "formula": "Na2HfNpN4",
  "functional": "GGA-PBE",
  "state": "optimized geometry",
  "raw_formation_energy_ev_per_atom": -1.011,
  "e_tot_ev_per_cell": -66.9,
  "magnetic_moment_mub_per_cell": 1.0,
  "lattice": [[-1.095, 1.376, 2.907], [4.540, -2.125, 2.715], [1.446, 5.439, -2.030]],
  "species": ["Np", "Hf", "N", "N", "N", "N", "Na", "Na"],
  "fractional_positions": [[0.000, 0.000, 0.000], [0.500, 0.500, 0.000], [0.000, 0.737, 0.185], [0.500, 0.775, 0.812], [0.500, 0.225, 0.188], [0.000, 0.263, 0.815], [0.000, 0.500, 0.500], [0.500, 0.000, 0.500]]
}

10.
{
  "formula": "NaHfOs2N",
  "functional": "GGA-PBE",
  "state": "optimized geometry",
  "raw_formation_energy_ev_per_atom": 2.293,
  "e_tot_ev_per_cell": -30.6,
  "magnetic_moment_mub_per_cell": 0.0,
  "lattice": [[-2.930, -1.118, -3.442], [0.995, -3.620, 0.328], [-3.404, -0.653, 3.110]],
  "species": ["Na", "Os", "Os", "Hf", "N"],
  "fractional_positions": [[0.000, 0.000, 0.000], [0.500, 0.000, 0.000], [0.000, 0.000, 0.500], [0.500, 0.500, 0.500], [0.000, 0.500, 0.000]]
}

11.
{
  "formula": "NaHfP2N",
  "functional": "GGA-PBE",
  "state": "optimized geometry",
  "raw_formation_energy_ev_per_atom": 2.257,
  "e_tot_ev_per_cell": -19.1,
  "magnetic_moment_mub_per_cell": 1.1,
  "lattice": [[-0.019, 3.251, 2.995], [-4.749, -1.661, 1.773], [2.013, -2.660, 2.901]],
  "species": ["N", "P", "P", "Na", "Hf"],
  "fractional_positions": [[0.500, 0.500, 0.500], [0.500, 0.000, 0.000], [0.000, 0.000, 0.500], [0.000, 0.000, 0.000], [0.000, 0.500, 0.000]]
}

12.
{
  "formula": "NaHf4PaN8",
  "functional": "GGA-PBE",
  "state": "optimized geometry",
  "raw_formation_energy_ev_per_atom": -1.201,
  "e_tot_ev_per_cell": -134.0,
  "magnetic_moment_mub_per_cell": 0.0,
  "lattice": [[6.486, 0.000, 0.000], [3.243, 5.617, 0.000], [3.243, 1.872, 5.548]],
  "species": ["N", "N", "N", "N", "N", "N", "N", "N", "Na", "Hf", "Hf", "Hf", "Hf", "Pa"],
  "fractional_positions": [[0.806, 0.234, 0.725], [0.234, 0.806, 0.725], [0.754, 0.229, 0.264], [0.229, 0.754, 0.264], [0.231, 0.231, 0.306], [0.234, 0.234, 0.725], [0.755, 0.755, 0.736], [0.754, 0.754, 0.264], [0.373, 0.373, 0.882], [0.005, 0.492, 0.499], [0.625, 0.625, 0.125], [0.492, 0.005, 0.499], [0.005, 0.005, 0.499], [0.005, 0.005, 0.986]]
}

13.
{
  "formula": "NaHf3Pa2N6",
  "functional": "GGA-PBE",
  "state": "optimized geometry",
  "raw_formation_energy_ev_per_atom": -1.559,
  "e_tot_ev_per_cell": -118.8,
  "magnetic_moment_mub_per_cell": 0.0,
  "lattice": [[3.284, 0.000, 0.000], [0.000, 6.794, 0.142], [-1.642, -2.065, 6.947]],
  "species": ["N", "N", "N", "N", "N", "N", "Pa", "Pa", "Hf", "Hf", "Hf", "Na"],
  "fractional_positions": [[0.999, 0.275, 0.999], [0.659, 0.603, 0.319], [0.341, 0.397, 0.681], [0.001, 0.725, 0.001], [0.327, 0.927, 0.654], [0.673, 0.073, 0.346], [0.163, 0.329, 0.327], [0.837, 0.671, 0.673], [0.500, 0.500, 0.000], [0.162, 0.831, 0.323], [0.838, 0.169, 0.677], [0.500, 0.000, 0.000]]
}

14.
{
  "formula": "Na2HfPaN4",
  "functional": "GGA-PBE",
  "state": "optimized geometry",
  "raw_formation_energy_ev_per_atom": -1.037,
  "e_tot_ev_per_cell": -63.7,
  "magnetic_moment_mub_per_cell": 0.4,
  "lattice": [[-0.071, 1.963, -2.843], [1.440, -4.662, -3.255], [-5.992, 0.312, 0.364]],
  "species": ["Na", "Na", "N", "N", "N", "N", "Hf", "Pa"],
  "fractional_positions": [[0.000, 0.500, 0.500], [0.500, 0.000, 0.500], [0.000, 0.725, 0.187], [0.500, 0.763, 0.810], [0.500, 0.237, 0.190], [0.000, 0.275, 0.813], [0.500, 0.500, 0.000], [0.000, 0.000, 0.000]]
}

15.
{
  "formula": "Na4HfPa3N8",
  "functional": "GGA-PBE",
  "state": "optimized geometry",
  "raw_formation_energy_ev_per_atom": -1.135,
  "e_tot_ev_per_cell": -128.5,
  "magnetic_moment_mub_per_cell": 0.0,
  "lattice": [[-1.265, 5.838, -3.638], [-5.392, 1.452, 4.206], [6.349, -1.125, 2.711]],
  "species": ["Pa", "Pa", "Pa", "Hf", "Na", "Na", "Na", "Na", "N", "N", "N", "N", "N", "N", "N", "N"],
  "fractional_positions": [[0.500, 0.500, 0.000], [0.500, 0.500, 0.500], [0.000, 0.500, 0.500], [0.000, 0.500, 0.000], [0.500, 0.000, 0.000], [0.000, 0.000, 0.500], [0.500, 0.000, 0.500], [0.000, 0.000, 0.000], [0.226, 0.686, 0.452], [0.266, 0.314, 0.040], [0.774, 0.314, 0.040], [0.734, 0.686, 0.960], [0.729, 0.686, 0.458], [0.226, 0.686, 0.960], [0.271, 0.314, 0.542], [0.774, 0.314, 0.548]]
}

16.
{
  "formula": "NaHf3Pa2N8",
  "functional": "GGA-PBE",
  "state": "optimized geometry",
  "raw_formation_energy_ev_per_atom": -1.313,
  "e_tot_ev_per_cell": -135.2,
  "magnetic_moment_mub_per_cell": 0.0,
  "lattice": [[-1.651, 5.444, 3.293], [-6.067, 0.649, 2.444], [-0.909, -0.344, 6.673]],
  "species": ["N", "N", "N", "N", "N", "N", "N", "N", "Hf", "Hf", "Hf", "Pa", "Pa", "Na"],
  "fractional_positions": [[0.258, 0.258, 0.225], [0.731, 0.731, 0.807], [0.721, 0.255, 0.770], [0.732, 0.732, 0.229], [0.732, 0.307, 0.229], [0.307, 0.732, 0.229], [0.255, 0.721, 0.770], [0.255, 0.255, 0.770], [0.984, 0.507, 0.003], [0.507, 0.507, 0.003], [0.507, 0.984, 0.003], [0.129, 0.129, 0.612], [0.502, 0.502, 0.493], [0.874, 0.874, 0.378]]
}

17.
{
  "formula": "Na3HfPa2N6",
  "functional": "GGA-PBE",
  "state": "optimized geometry",
  "raw_formation_energy_ev_per_atom": -1.102,
  "e_tot_ev_per_cell": -96.1,
  "magnetic_moment_mub_per_cell": 0.0,
  "lattice": [[6.004, -0.004, 0.004], [-3.004, 5.198, 0.004], [-0.997, -1.726, 5.710]],
  "species": ["Pa", "Pa", "N", "N", "N", "N", "N", "N", "Na", "Na", "Na", "Hf"],
  "fractional_positions": [[0.333, 0.667, 0.000], [0.667, 0.333, 0.000], [0.062, 0.389, 0.188], [0.389, 0.062, 0.188], [0.265, 0.265, 0.813], [0.938, 0.611, 0.812], [0.611, 0.938, 0.812], [0.735, 0.735, 0.187], [0.840, 0.160, 0.500], [0.160, 0.840, 0.500], [0.500, 0.500, 0.500], [0.000, 0.000, 0.000]]
}

18.
{
  "formula": "Na2PuHfN4",
  "functional": "GGA-PBE",
  "state": "optimized geometry",
  "raw_formation_energy_ev_per_atom": -0.934,
  "e_tot_ev_per_cell": -67.7,
  "magnetic_moment_mub_per_cell": 2.0,
  "lattice": [[3.378, 0.000, 0.000], [0.000, 5.688, 0.128], [0.000, -1.965, 5.649]],
  "species": ["N", "N", "N", "N", "Na", "Na", "Hf", "Pu"],
  "fractional_positions": [[0.500, 0.228, 0.190], [0.500, 0.772, 0.810], [0.000, 0.739, 0.185], [0.000, 0.261, 0.815], [0.000, 0.500, 0.500], [0.500, 0.000, 0.500], [0.500, 0.500, 0.000], [0.000, 0.000, 0.000]]
}

19.
{
  "formula": "Na2HfReN4",
  "functional": "GGA-PBE",
  "state": "optimized geometry",
  "raw_formation_energy_ev_per_atom": -0.558,
  "e_tot_ev_per_cell": -125.6,
  "magnetic_moment_mub_per_cell": 0.0,
  "lattice": [[5.633, 0.000, 0.000], [0.000, 6.678, 0.000], [0.000, 0.000, 6.711]],
  "species": ["N", "N", "N", "N", "N", "N", "N", "N", "Na", "Na", "Na", "Na", "Hf", "Hf", "Re", "Re"],
  "fractional_positions": [[0.429, 0.701, 0.736], [0.828, 0.874, 0.500], [0.429, 0.701, 0.264], [0.929, 0.299, 0.236], [0.852, 0.912, 0.000], [0.352, 0.088, 0.500], [0.328, 0.126, 0.000], [0.929, 0.299, 0.764], [0.983, 0.659, 0.249], [0.483, 0.341, 0.749], [0.483, 0.341, 0.251], [0.983, 0.659, 0.751], [0.994, 0.143, 0.500], [0.494, 0.857, 0.000], [0.001, 0.159, 0.000], [0.501, 0.841, 0.500]]
}

20.
{
  "formula": "NaHfS2N",
  "functional": "GGA-PBE",
  "state": "optimized geometry",
  "raw_formation_energy_ev_per_atom": -0.638,
  "polymorph_energy_ev_per_atom": 0.0000,
  "e_tot_ev_per_cell": -31.0,
  "magnetic_moment_mub_per_cell": 1.9,
  "lattice": [[5.027, 0.000, 0.000], [0.000, 5.027, 0.000], [0.000, 0.000, 4.223]],
  "species": ["Na", "Hf", "S", "S", "N"],
  "fractional_positions": [[0.500, 0.500, 0.500], [0.000, 0.000, 0.000], [0.500, 0.000, 0.000], [0.000, 0.500, 0.000], [0.000, 0.000, 0.500]]
}

21.
{
  "formula": "NaHfS2N",
  "functional": "GGA-PBE",
  "state": "optimized geometry",
  "raw_formation_energy_ev_per_atom": 0.896,
  "polymorph_energy_ev_per_atom": 1.5337,
  "e_tot_ev_per_cell": -23.4,
  "magnetic_moment_mub_per_cell": 2.1,
  "lattice": [[-4.340, 1.186, 1.503], [0.606, -2.682, 3.866], [1.512, 3.105, 1.917]],
  "species": ["Na", "N", "S", "S", "Hf"],
  "fractional_positions": [[0.000, 0.000, 0.000], [0.000, 0.000, 0.500], [0.000, 0.500, 0.000], [0.500, 0.000, 0.000], [0.500, 0.500, 0.500]]
}

22.
{
  "formula": "NaHfSe2N",
  "functional": "GGA-PBE",
  "state": "optimized geometry",
  "raw_formation_energy_ev_per_atom": -0.556,
  "polymorph_energy_ev_per_atom": 0.0000,
  "e_tot_ev_per_cell": -29.3,
  "magnetic_moment_mub_per_cell": 1.7,
  "lattice": [[5.291, 0.000, 0.000], [0.000, 5.291, 0.000], [0.000, 0.000, 4.191]],
  "species": ["Na", "Se", "Se", "N", "Hf"],
  "fractional_positions": [[0.500, 0.500, 0.500], [0.500, 0.000, 0.000], [0.000, 0.500, 0.000], [0.000, 0.000, 0.500], [0.000, 0.000, 0.000]]
}

23.
{
  "formula": "NaHfSeN2",
  "functional": "GGA-PBE",
  "state": "optimized geometry",
  "raw_formation_energy_ev_per_atom": -0.114,
  "polymorph_energy_ev_per_atom": 0.0000,
  "e_tot_ev_per_cell": -32.0,
  "magnetic_moment_mub_per_cell": 2.8,
  "lattice": [[4.269, 0.000, 0.000], [0.000, 4.269, 0.000], [0.000, 0.000, 5.338]],
  "species": ["Na", "Hf", "Se", "N", "N"],
  "fractional_positions": [[0.500, 0.500, 0.500], [0.000, 0.000, 0.000], [0.000, 0.000, 0.500], [0.500, 0.000, 0.000], [0.000, 0.500, 0.000]]
}

24.
{
  "formula": "NaHfSeN2",
  "functional": "GGA-PBE",
  "state": "optimized geometry",
  "raw_formation_energy_ev_per_atom": 1.471,
  "polymorph_energy_ev_per_atom": 1.5856,
  "e_tot_ev_per_cell": -24.1,
  "magnetic_moment_mub_per_cell": 2.8,
  "lattice": [[-1.454, 2.137, -3.175], [-2.794, -2.915, -0.682], [-3.063, 2.252, 2.918]],
  "species": ["N", "N", "Na", "Se", "Hf"],
  "fractional_positions": [[0.500, 0.000, 0.000], [0.000, 0.500, 0.000], [0.000, 0.000, 0.000], [0.000, 0.000, 0.500], [0.500, 0.500, 0.500]]
}